# 1
A relaxed AcTe2AuO8 crystal. Source: the Alexandria database, functional GGA-PBE.

Unit cell a=6.5166 b=6.5166 c=6.5166 alpha=107.44 beta=107.44 gamma=113.62
Element x y z (fractional)
O: 0.3437 0.5326 0.1890
O: 0.7629 0.0783 0.6846
O: 0.8453 0.6563 0.1890
O: 0.3437 0.1547 0.8110
O: 0.4674 0.6563 0.8110
O: 0.9217 0.6064 0.6846
O: 0.3936 0.0783 0.3154
O: 0.9217 0.2371 0.3154
Te: 0.5000 0.5000 0.0000
Te: 0.7500 0.2500 0.5000
Au: 0.0000 0.0000 0.0000
Ac: 0.2500 0.7500 0.5000

Computed properties:
The calculation puts the final energy at -67.36 eV for the cell shown. For the uncorrected formation energy, the calculation gives -113 kJ per mole of atoms.


# 2
A relaxed NpBeAsN crystal. Source: the Alexandria database, functional GGA-PBE.

Unit cell a=3.8021 b=3.8021 c=8.4682 alpha=90.00 beta=90.00 gamma=90.00
Site moments in Bohr magnetons follow the coordinates.
Element x y z (fractional)
Np: 0.0000 0.5000 0.3631  3.11
Np: 0.5000 0.0000 0.6369  3.11
N: 0.0000 0.0000 0.5000  -0.18
N: 0.5000 0.5000 0.5000  -0.18
Be: 0.0000 0.0000 0.0000  -0.01
Be: 0.5000 0.5000 0.0000  -0.01
As: 0.0000 0.5000 0.8395  -0.05
As: 0.5000 0.0000 0.1605  -0.05

Computed properties:
The calculation puts the final energy at -65.31 eV for the cell shown. For the uncorrected formation energy, the calculation gives -73 kJ per mole of atoms.


# 3
A relaxed TcSn2W2 crystal. Source: the Alexandria database, functional GGA-PBE.

Unit cell a=3.8324 b=3.8324 c=7.4226 alpha=75.04 beta=75.04 gamma=90.00
Site moments in Bohr magnetons follow the coordinates.
Element x y z (fractional)
Sn: 0.2500 0.7500 0.5000  0.01
Sn: 0.7500 0.2500 0.5000  0.01
W: 0.5865 0.5865 0.8270  -0.05
W: 0.4135 0.4135 0.1730  -0.05
Tc: 0.0000 0.0000 0.0000  1.41

Computed properties:
The relative energy among the computed polymorphs comes out at 1.96 eV/f.u. The calculation puts the final energy at -38.59 eV for the cell shown.


# 4
A relaxed EuDyZnSn crystal. Source: the Alexandria database, functional GGA-PBE.

Unit cell a=5.3074 b=5.3074 c=5.3074 alpha=60.00 beta=60.00 gamma=60.00
Site moments in Bohr magnetons follow the coordinates.
Element x y z (fractional)
Dy: 0.5000 0.5000 0.5000  0.19
Zn: 0.7500 0.7500 0.7500  0.03
Sn: 0.2500 0.2500 0.2500  -0.04
Eu: 0.0000 0.0000 0.0000  6.85

Computed properties:
The calculation puts the final energy at -22.06 eV for the cell shown.


# 5
A relaxed Ti3RhSe crystal. Source: the Alexandria database, functional GGA-PBE.

Unit cell a=4.5803 b=4.5803 c=4.5803 alpha=90.00 beta=90.00 gamma=90.00
Element x y z (fractional)
Ti: 0.0000 0.5000 0.0000
Ti: 0.5000 0.0000 0.0000
Ti: 0.0000 0.0000 0.5000
Se: 0.0000 0.0000 0.0000
Rh: 0.5000 0.5000 0.5000

Computed properties:
The relative energy among the computed polymorphs comes out at 0.00 eV/f.u. The calculation puts the final energy at -33.86 eV for the cell shown. For the uncorrected formation energy, the calculation gives 13 kJ per mole of atoms.


# 6
A relaxed TmCdP crystal. Source: the Alexandria database, functional GGA-PBE.

Unit cell a=4.9571 b=6.5052 c=13.5845 alpha=148.45 beta=90.00 gamma=112.40
Element x y z (fractional)
Tm: 0.5246 0.0492 0.3889
Tm: 0.4754 0.9508 0.6111
P: 0.9702 0.9404 0.8893
P: 0.0298 0.0596 0.1107
Cd: 0.6968 0.3937 0.3010
Cd: 0.3032 0.6063 0.6990

Computed properties:
The calculation puts the final energy at -23.52 eV for the cell shown.


# 7
A relaxed Na2Sr4Ga crystal. Source: the Alexandria database, functional GGA-PBE.

Unit cell a=6.1785 b=6.1785 c=10.3669 alpha=107.34 beta=107.34 gamma=90.00
Element x y z (fractional)
Na: 0.3682 0.3682 0.7364
Na: 0.6318 0.6318 0.2636
Ga: 0.0000 0.0000 0.0000
Sr: 0.0000 0.5000 0.0000
Sr: 0.8335 0.8335 0.6670
Sr: 0.5000 0.0000 0.0000
Sr: 0.1665 0.1665 0.3330

Computed properties:
The calculation puts the final energy at -12.25 eV for the cell shown.


# 8
A relaxed La2SmDy2Y2 crystal. Source: the Alexandria database, functional GGA-PBE.

Unit cell a=5.1251 b=6.2734 c=8.1196 alpha=97.55 beta=90.00 gamma=114.11
Element x y z (fractional)
Sm: 0.0000 0.0000 0.0000
La: 0.1412 0.2824 0.4266
La: 0.8588 0.7176 0.5734
Y: 0.7155 0.4310 0.1392
Y: 0.2845 0.5690 0.8608
Dy: 0.5706 0.1411 0.7173
Dy: 0.4294 0.8589 0.2827

Computed properties:
The calculation puts the final energy at -36.51 eV for the cell shown.


# 9
A relaxed HgSI3 crystal. Source: the Alexandria database, functional GGA-PBE.

Unit cell a=5.9216 b=5.9216 c=5.9216 alpha=90.00 beta=90.00 gamma=90.00
Site moments in Bohr magnetons follow the coordinates.
Element x y z (fractional)
I: 0.5000 0.0000 0.0000  0.20
I: 0.0000 0.5000 0.0000  0.15
I: 0.0000 0.0000 0.5000  0.19
S: 0.5000 0.5000 0.5000  1.25
Hg: 0.0000 0.0000 0.0000  0.00

Computed properties:
The relative energy among the computed polymorphs comes out at 3.23 eV/f.u. The calculation puts the final energy at -6.09 eV for the cell shown. For the uncorrected formation energy, the calculation gives 58 kJ per mole of atoms.


# 10
A relaxed LiAl2CdTe4 crystal. Source: the Alexandria database, functional GGA-PBE.

Unit cell a=6.5102 b=6.5102 c=7.5164 alpha=112.67 beta=112.67 gamma=96.32
Element x y z (fractional)
Te: 0.8718 0.3787 0.2504
Te: 0.1190 0.1190 0.7199
Te: 0.3787 0.8718 0.2504
Te: 0.6009 0.6009 0.7199
Al: 0.7606 0.2606 0.5213
Al: 0.2606 0.7606 0.5213
Li: 0.5058 0.5058 0.0116
Cd: 0.0029 0.0029 0.0058

Computed properties:
The calculation puts the final energy at -26.57 eV for the cell shown. For the uncorrected formation energy, the calculation gives -44 kJ per mole of atoms.


# 11
A relaxed CrTc3Mo crystal. Source: the Alexandria database, functional GGA-PBE.

Unit cell a=4.3642 b=4.3642 c=4.3642 alpha=90.00 beta=90.00 gamma=90.00
Element x y z (fractional)
Tc: 0.0000 0.5000 0.0000
Tc: 0.5000 0.0000 0.0000
Tc: 0.0000 0.0000 0.5000
Cr: 0.0000 0.0000 0.0000
Mo: 0.5000 0.5000 0.5000

Computed properties:
The relative energy among the computed polymorphs comes out at 0.00 eV/f.u. The calculation puts the final energy at -45.33 eV for the cell shown.


# 12
A relaxed Ac6BiP3S2 crystal. Source: the Alexandria database, functional GGA-PBE.

Unit cell a=4.4757 b=8.9874 c=10.0393 alpha=103.41 beta=102.88 gamma=90.00
Element x y z (fractional)
S: 0.1701 0.3379 0.3402
S: 0.8299 0.6621 0.6598
P: 0.8339 0.1708 0.6678
P: 0.5000 0.5000 0.0000
P: 0.1661 0.8292 0.3322
Ac: 0.3263 0.9186 0.6527
Ac: 0.3347 0.4130 0.6694
Ac: 0.6653 0.5870 0.3306
Ac: 0.6737 0.0814 0.3473
Ac: 0.0007 0.7313 0.0014
Ac: 0.9993 0.2687 0.9986
Bi: 0.5000 0.0000 0.0000

Computed properties:
The calculation puts the final energy at -71.93 eV for the cell shown. For the uncorrected formation energy, the calculation gives -152 kJ per mole of atoms.